# 1
! CoTcPt (PBE, relaxed); values from VASP
! - Space group: No. 107
! - Total magnetic moment: 1.095 μB/cell
! - DFT formation energy: 82 meV per atom
! - Energy relative to the lowest polymorph listed for this composition: 134 meV/atom
! - Raw total energy: -0.570 Ry/atom
&SYSTEM
  ibrav = 0, nat = 3, ntyp = 3
/
ATOMIC_SPECIES
Pt 195.08 Pt.upf
Tc 98.00 Tc.upf
Co 58.93 Co.upf
CELL_PARAMETERS angstrom
-0.5200 0.6679 4.6216
1.4898 -3.0796 3.2206
1.4982 2.2420 -3.8477
ATOMIC_POSITIONS angstrom
Pt 0.3272 -0.8136 2.6456
Tc 0.6327 -1.5734 5.1165
Co 0.0099 -0.0246 0.0801

=====

# 2
! CoTcPt4 (PBE, relaxed); values from VASP
! - Space group: No. 216
! - Total magnetic moment: 4.987 μB/cell
! - DFT formation energy: 424 meV per atom
! - Energy relative to the lowest polymorph listed for this composition: 577 meV/atom
! - Raw total energy: -0.479 Ry/atom
&SYSTEM
  ibrav = 0, nat = 6, ntyp = 3
/
ATOMIC_SPECIES
Pt 195.08 Pt.upf
Co 58.93 Co.upf
Tc 98.00 Tc.upf
CELL_PARAMETERS angstrom
4.2129 -0.2858 3.0235
1.2013 3.9432 3.1592
-0.5235 -0.5377 5.1390
ATOMIC_POSITIONS angstrom
Pt 3.0571 1.9500 7.0768
Pt 0.9495 2.0930 5.5642
Pt 2.4561 -0.0226 5.4964
Pt 3.3190 2.2190 4.5059
Co 0.0000 0.0000 0.0000
Tc 1.2227 0.7799 2.8304